#i
This record from Alexandria via LeMat-Bulk describes crystalline ScHg2Pt2 at its relaxed geometry. The functional is PBE.

Cell lengths 7.588, 7.588, 3.405 Å; angles 90.00, 90.00, 90.00 degrees
Positions (direct):
Sc (0.000, 0.000, 0.000)
Sc (0.500, 0.500, 0.000)
Hg (0.130, 0.370, 0.000)
Hg (0.370, 0.870, 0.000)
Hg (0.630, 0.130, 0.000)
Hg (0.870, 0.630, 0.000)
Pt (0.174, 0.674, 0.500)
Pt (0.326, 0.174, 0.500)
Pt (0.674, 0.826, 0.500)
Pt (0.826, 0.326, 0.500)

D(E_F)	0.606	states/eV per atom
space group	P4/mbm (127)

=====

#ii
This record from Alexandria via LeMat-Bulk describes crystalline ScHg2Pt2 at its relaxed geometry. The functional is PBE.

Cell lengths 7.194, 7.194, 7.194 Å; angles 148.27, 148.27, 45.49 degrees
Positions (direct):
Sc (0.000, 0.000, 0.000)
Hg (0.396, 0.396, 0.000)
Hg (0.604, 0.604, 0.000)
Pt (0.250, 0.750, 0.500)
Pt (0.750, 0.250, 0.500)

D(E_F)	0.622	states/eV per atom
space group	I4/mmm (139)

=====

We find #i to be the most stable, with the next structure 103 meV per atom higher.

=====

#i
This record from Alexandria via LeMat-Bulk describes crystalline ScHgPt3 at its relaxed geometry. The functional is PBE.

Cell lengths 4.840, 4.840, 4.840 Å; angles 90.00, 90.00, 90.00 degrees
Positions (direct):
Sc (0.000, 0.000, 0.000)
Hg (0.500, 0.500, 0.500)
Pt (0.000, 0.000, 0.500)
Pt (0.000, 0.500, 0.000)
Pt (0.500, 0.000, 0.000)

D(E_F)	0.624	states/eV per atom
space group	Pm-3m (221)

=====

#ii
This record from Alexandria via LeMat-Bulk describes crystalline ScHgPt3 at its relaxed geometry. The functional is PBE.

Cell lengths 4.973, 4.973, 4.973 Å; angles 90.00, 90.00, 90.00 degrees
Positions (direct):
Sc (0.000, 0.000, 0.000)
Hg (0.500, 0.500, 0.500)
Pt (0.000, 0.500, 0.500)
Pt (0.500, 0.000, 0.500)
Pt (0.500, 0.500, 0.000)

D(E_F)	0.631	states/eV per atom
space group	Pm-3m (221)

=====

We find #i to be the most stable, with the next structure 250 meV per atom higher.

=====

#i
This record from Alexandria via LeMat-Bulk describes crystalline Sc2Hg2Pt at its relaxed geometry. The functional is PBE.

Cell lengths 9.914, 9.914, 3.255 Å; angles 90.00, 90.00, 160.61 degrees
Positions (direct):
Sc (0.084, 0.916, 0.000)
Sc (0.916, 0.084, 0.000)
Hg (0.313, 0.687, 0.500)
Hg (0.687, 0.313, 0.500)
Pt (0.500, 0.500, 0.500)

D(E_F)	0.790	states/eV per atom
space group	Cmmm (65)

=====

#ii
This record from Alexandria via LeMat-Bulk describes crystalline Sc2Hg2Pt at its relaxed geometry. The functional is PBE.

Cell lengths 7.412, 7.412, 3.784 Å; angles 90.00, 90.00, 90.00 degrees
Positions (direct):
Sc (0.170, 0.330, 0.000)
Sc (0.330, 0.830, 0.000)
Sc (0.670, 0.170, 0.000)
Sc (0.830, 0.670, 0.000)
Hg (0.136, 0.636, 0.500)
Hg (0.364, 0.136, 0.500)
Hg (0.636, 0.864, 0.500)
Hg (0.864, 0.364, 0.500)
Pt (0.000, 0.000, 0.500)
Pt (0.500, 0.500, 0.500)

D(E_F)	0.506	states/eV per atom
space group	P4/mbm (127)

=====

#iii
This record from Alexandria via LeMat-Bulk describes crystalline Sc2Hg2Pt at its relaxed geometry. The functional is PBE.

Cell lengths 7.095, 7.095, 4.497 Å; angles 90.00, 90.00, 90.00 degrees
Positions (direct):
Sc (0.163, 0.337, 0.000)
Sc (0.337, 0.837, 0.000)
Sc (0.663, 0.163, 0.000)
Sc (0.837, 0.663, 0.000)
Hg (0.148, 0.648, 0.500)
Hg (0.352, 0.148, 0.500)
Hg (0.648, 0.852, 0.500)
Hg (0.852, 0.352, 0.500)
Pt (0.000, 0.000, 0.000)
Pt (0.500, 0.500, 0.000)

D(E_F)	0.729	states/eV per atom
space group	P4/mbm (127)

=====

We find #i to be the most stable, with the next structure 216 meV per atom higher.

=====

#i
This record from Alexandria via LeMat-Bulk describes crystalline Hg2PtSe2 at its relaxed geometry. The functional is PBE.

Cell lengths 7.171, 7.171, 4.556 Å; angles 90.00, 90.00, 90.00 degrees
Positions (direct):
Hg (0.139, 0.361, 0.000)
Hg (0.361, 0.861, 0.000)
Hg (0.639, 0.139, 0.000)
Hg (0.861, 0.639, 0.000)
Pt (0.000, 0.000, 0.500)
Pt (0.500, 0.500, 0.500)
Se (0.202, 0.702, 0.500)
Se (0.298, 0.202, 0.500)
Se (0.702, 0.798, 0.500)
Se (0.798, 0.298, 0.500)

D(E_F)	0.309	states/eV per atom
space group	P4/mbm (127)

=====

#ii
This record from Alexandria via LeMat-Bulk describes crystalline Hg2PtSe2 at its relaxed geometry. The functional is PBE.

Cell lengths 9.918, 9.918, 9.918 Å; angles 154.79, 51.13, 136.29 degrees
Positions (direct):
Hg (0.192, 0.001, 0.193)
Hg (0.308, 0.501, 0.810)
Hg (0.692, 0.499, 0.190)
Hg (0.808, 0.999, 0.807)
Pt (0.250, 0.750, 0.500)
Pt (0.750, 0.250, 0.500)
Se (0.090, 0.501, 0.590)
Se (0.410, 0.001, 0.411)
Se (0.590, 0.999, 0.589)
Se (0.910, 0.499, 0.410)

D(E_F)	0.273	states/eV per atom
space group	Ibam (72)

=====

We find #ii to be the most stable, with the next structure 210 meV per atom higher.

=====

#i
This record from Alexandria via LeMat-Bulk describes crystalline HgPt2Se3 at its relaxed geometry. The functional is PBE.

Cell lengths 7.497, 7.497, 5.472 Å; angles 90.00, 90.00, 120.00 degrees
Positions (direct):
Hg (0.333, 0.667, 0.151)
Hg (0.667, 0.333, 0.849)
Pt (0.000, 0.000, 0.500)
Pt (0.000, 0.500, 0.500)
Pt (0.500, 0.000, 0.500)
Pt (0.500, 0.500, 0.500)
Se (0.172, 0.345, 0.734)
Se (0.172, 0.828, 0.734)
Se (0.345, 0.172, 0.266)
Se (0.655, 0.828, 0.734)
Se (0.828, 0.172, 0.266)
Se (0.828, 0.655, 0.266)

D(E_F)	0.101	states/eV per atom
space group	P-3m1 (164)

=====

#ii
This record from Alexandria via LeMat-Bulk describes crystalline HgPt2Se3 at its relaxed geometry. The functional is PBE.

Cell lengths 7.249, 7.249, 7.249 Å; angles 62.08, 62.08, 62.08 degrees
Positions (direct):
Hg (0.225, 0.225, 0.225)
Hg (0.775, 0.775, 0.775)
Pt (0.000, 0.000, 0.000)
Pt (0.000, 0.500, 0.500)
Pt (0.500, 0.000, 0.500)
Pt (0.500, 0.500, 0.000)
Se (0.242, 0.242, 0.738)
Se (0.242, 0.738, 0.242)
Se (0.262, 0.758, 0.758)
Se (0.738, 0.242, 0.242)
Se (0.758, 0.262, 0.758)
Se (0.758, 0.758, 0.262)

D(E_F)	0.326	states/eV per atom
space group	R-3m (166)

=====

We find #i to be the most stable, with the next structure 68 meV per atom higher.

=====

#i
This record from Alexandria via LeMat-Bulk describes crystalline SiHgPtSe2 at its relaxed geometry. The functional is PBE.

Cell lengths 5.253, 5.253, 4.498 Å; angles 90.00, 90.00, 90.00 degrees
Positions (direct):
Si (0.000, 0.000, 0.000)
Hg (0.500, 0.500, 0.000)
Pt (0.000, 0.000, 0.500)
Se (0.000, 0.500, 0.500)
Se (0.500, 0.000, 0.500)

D(E_F)	0.518	states/eV per atom
space group	P4/mmm (123)

=====

#ii
This record from Alexandria via LeMat-Bulk describes crystalline SiHgPtSe2 at its relaxed geometry. The functional is PBE.

Cell lengths 5.017, 5.017, 5.149 Å; angles 90.00, 90.00, 90.00 degrees
Positions (direct):
Si (0.000, 0.000, 0.000)
Hg (0.500, 0.500, 0.000)
Pt (0.500, 0.500, 0.500)
Se (0.000, 0.500, 0.500)
Se (0.500, 0.000, 0.500)

D(E_F)	0.753	states/eV per atom
space group	P4/mmm (123)

=====

We find #i to be the most stable, with the next structure 294 meV per atom higher.

=====

#i
This record from Alexandria via LeMat-Bulk describes crystalline SiHgPt2 at its relaxed geometry. The functional is PBE.

Cell lengths 4.495, 4.495, 3.352 Å; angles 90.11, 90.11, 100.18 degrees
Positions (direct):
Si (0.000, 0.000, 0.000)
Hg (0.500, 0.500, 0.000)
Pt (0.000, 0.500, 0.500)
Pt (0.500, 0.000, 0.500)

D(E_F)	0.515	states/eV per atom
space group	C2/m (12)

=====

#ii
This record from Alexandria via LeMat-Bulk describes crystalline SiHgPt2 at its relaxed geometry. The functional is PBE.

Cell lengths 5.068, 5.068, 5.068 Å; angles 140.48, 123.03, 71.56 degrees
Positions (direct):
Si (0.000, 0.000, 0.000)
Hg (0.500, 0.500, 0.000)
Pt (0.203, 0.703, 0.500)
Pt (0.797, 0.297, 0.500)

D(E_F)	0.394	states/eV per atom
space group	Immm (71)

=====

#iii
This record from Alexandria via LeMat-Bulk describes crystalline SiHgPt2 at its relaxed geometry. The functional is PBE.

Cell lengths 4.752, 4.752, 2.941 Å; angles 90.00, 90.00, 90.00 degrees
Positions (direct):
Si (0.000, 0.000, 0.000)
Hg (0.500, 0.500, 0.000)
Pt (0.000, 0.500, 0.500)
Pt (0.500, 0.000, 0.500)

D(E_F)	0.566	states/eV per atom
space group	P4/mmm (123)

=====

We find #ii to be the most stable, with the next structure 167 meV per atom higher.

=====

#i
This record from Alexandria via LeMat-Bulk describes crystalline SiHgPt2 at its relaxed geometry. The functional is PBE.

Cell lengths 4.547, 4.547, 4.547 Å; angles 60.00, 60.00, 60.00 degrees
Positions (direct):
Si (0.000, 0.000, 0.000)
Hg (0.500, 0.500, 0.500)
Pt (0.250, 0.250, 0.250)
Pt (0.750, 0.750, 0.750)

D(E_F)	0.529	states/eV per atom
space group	Fm-3m (225)

=====

#ii
This record from Alexandria via LeMat-Bulk describes crystalline SiHgPt2 at its relaxed geometry. The functional is PBE.

Cell lengths 3.362, 3.362, 6.215 Å; angles 90.00, 90.00, 90.00 degrees
Positions (direct):
Si (0.000, 0.000, 0.000)
Hg (0.500, 0.500, 0.351)
Pt (0.000, 0.000, 0.610)
Pt (0.500, 0.500, 0.885)

D(E_F)	0.479	states/eV per atom
space group	P4mm (99)

=====

#iii
This record from Alexandria via LeMat-Bulk describes crystalline SiHgPt2 at its relaxed geometry. The functional is PBE.

Cell lengths 2.972, 3.052, 7.244 Å; angles 90.00, 90.00, 90.00 degrees
Positions (direct):
Si (0.000, 0.000, 0.000)
Hg (0.000, 0.000, 0.500)
Pt (0.500, 0.500, 0.195)
Pt (0.500, 0.500, 0.805)

D(E_F)	0.452	states/eV per atom
space group	Pmmm (47)

=====

#iv
This record from Alexandria via LeMat-Bulk describes crystalline SiHgPt2 at its relaxed geometry. The functional is PBE.

Cell lengths 4.887, 4.887, 4.887 Å; angles 130.28, 130.28, 72.96 degrees
Positions (direct):
Si (0.000, 0.000, 0.000)
Hg (0.500, 0.500, 0.000)
Pt (0.250, 0.750, 0.500)
Pt (0.750, 0.250, 0.500)

D(E_F)	0.412	states/eV per atom
space group	I4/mmm (139)

=====

We find #iii to be the most stable, with the next structure 180 meV per atom higher.

=====

#i
This record from Alexandria via LeMat-Bulk describes crystalline SiHgPt at its relaxed geometry. The functional is PBE.

Cell lengths 6.459, 6.459, 6.459 Å; angles 153.00, 153.00, 38.56 degrees
Positions (direct):
Si (0.000, 0.000, 0.000)
Hg (0.301, 0.301, 0.000)
Pt (0.610, 0.610, 0.000)

D(E_F)	0.269	states/eV per atom
space group	I4mm (107)

=====

#ii
This record from Alexandria via LeMat-Bulk describes crystalline SiHgPt at its relaxed geometry. The functional is PBE.

Cell lengths 4.082, 4.082, 4.010 Å; angles 90.00, 90.00, 120.00 degrees
Positions (direct):
Si (0.000, 0.000, 0.000)
Hg (0.667, 0.333, 0.499)
Pt (0.333, 0.667, 0.998)

D(E_F)	0.407	states/eV per atom
space group	P3m1 (156)

=====

#iii
This record from Alexandria via LeMat-Bulk describes crystalline SiHgPt at its relaxed geometry. The functional is PBE.

Cell lengths 3.440, 3.440, 5.760 Å; angles 90.00, 90.00, 120.00 degrees
Positions (direct):
Si (0.000, 0.000, 0.000)
Hg (0.667, 0.333, 0.394)
Pt (0.333, 0.667, 0.779)

D(E_F)	0.438	states/eV per atom
space group	P3m1 (156)

=====

We find #iii to be the most stable, with the next structure 76 meV per atom higher.

=====

#i
This record from Alexandria via LeMat-Bulk describes crystalline SiHgPt3 at its relaxed geometry. The functional is PBE.

Cell lengths 5.004, 5.004, 5.004 Å; angles 90.00, 90.00, 90.00 degrees
Positions (direct):
Si (0.000, 0.000, 0.000)
Hg (0.500, 0.500, 0.500)
Pt (0.000, 0.500, 0.500)
Pt (0.500, 0.000, 0.500)
Pt (0.500, 0.500, 0.000)

D(E_F)	1.362	states/eV per atom
space group	Pm-3m (221)

=====

#ii
This record from Alexandria via LeMat-Bulk describes crystalline SiHgPt3 at its relaxed geometry. The functional is PBE.

Cell lengths 4.559, 4.559, 4.559 Å; angles 90.00, 90.00, 90.00 degrees
Positions (direct):
Si (0.000, 0.000, 0.000)
Hg (0.500, 0.500, 0.500)
Pt (0.000, 0.000, 0.500)
Pt (0.000, 0.500, 0.000)
Pt (0.500, 0.000, 0.000)

D(E_F)	0.515	states/eV per atom
space group	Pm-3m (221)

=====

We find #ii to be the most stable, with the next structure 1447 meV per atom higher.